Record 1
This record from Alexandria via LeMat-Bulk describes an optimized crystal structure of Al2MoAu. The functional is PBE.

Cell: 4.4206 2.7842 5.3582 Å, 74.96 90.00 90.00°
Closest atoms and distances in Å follow each position.
Positions (direct):
Al1 0.0000 0.2086 0.9589  1 Au 2.60, 4 Mo 2.73, 4 Al 2.76-2.78
Au1 0.0000 0.4592 0.4565  5 Al 2.60-2.77, 2 Au 2.78
Al2 0.5000 0.0484 0.2770  3 Mo 2.75-2.80, 4 Al 2.76-2.78, 4 Au 2.77
Mo1 0.5000 0.7838 0.8076  7 Al 2.73-2.80, 2 Mo 2.78

Values from the calculation:
The energy above the most stable polymorph in this dataset is 154 meV per atom. The total magnetization is 0.00 μB per formula unit. The space group is No. 38.

Record 2
This record from Alexandria via LeMat-Bulk describes an optimized crystal structure of Al2MoAu. The functional is PBE.

Cell: 3.2269 3.2269 6.0589 Å, 90.00 90.00 90.00°
Closest atoms and distances in Å follow each position.
Positions (direct):
Al1 0.0000 0.0000 0.5208  4 Mo 2.67, 1 Al 2.78, 4 Au 2.81
Al2 0.0000 0.0000 0.9792  4 Mo 2.67, 1 Al 2.78, 4 Au 2.81
Mo1 0.5000 0.5000 0.7500  8 Al 2.67
Au1 0.5000 0.5000 0.2500  8 Al 2.81, 2 Mo 3.03

Values from the calculation:
The energy above the most stable polymorph in this dataset is 89 meV per atom. The total magnetization is 0.00 μB per formula unit. The space group is No. 123.

Record 3
This record from Alexandria via LeMat-Bulk describes an optimized crystal structure of AlMo2Au. The functional is PBE.

Cell: 4.4982 4.4982 4.4982 Å, 60.00 60.00 60.00°
Closest atoms and distances in Å follow each position.
Positions (direct):
Al1 0.5000 0.5000 0.5000  4 Mo 2.75, 4 Au 2.75
Mo1 0.2500 0.2500 0.2500  4 Mo 2.75, 4 Al 2.75
Mo2 0.0000 0.0000 0.0000  4 Mo 2.75, 4 Au 2.75
Au1 0.7500 0.7500 0.7500  4 Mo 2.75, 4 Al 2.75

Values from the calculation:
For the total energy, the calculation gives -7.0313 eV/atom. The total magnetization is 0.00 μB per formula unit. The space group is No. 216.

Record 4
This record from Alexandria via LeMat-Bulk describes an optimized crystal structure of AlMo2Au. The functional is PBE.

Cell: 5.0969 5.0969 2.7665 Å, 90.00 90.00 117.29°
Closest atoms and distances in Å follow each position.
Positions (direct):
Mo1 0.5000 0.5000 0.0000  4 Mo 2.65-2.77, 4 Au 2.90, 4 Al 2.90
Al1 0.5000 0.0000 0.5000  2 Au 2.65, 2 Al 2.77, 8 Mo 2.90
Au1 0.0000 0.5000 0.5000  2 Al 2.65, 2 Au 2.77, 8 Mo 2.90
Mo2 0.0000 0.0000 0.0000  4 Mo 2.65-2.77, 4 Al 2.90, 4 Au 2.90

Values from the calculation:
For the total energy, the calculation gives -7.1702 eV/atom. The total magnetization is 0.00 μB per formula unit. The space group is No. 65.